No. 1
The following is a PBEsol calculation of an optimized crystal structure of Fe2SiPb, from Alexandria via LeMat-Bulk.

a = 3.1524 Å, b = 3.1524 Å, c = 6.0405 Å
α = 90.00°, β = 90.00°, γ = 90.00°
With the nearest neighbours (Å) after each atom.
Positions (direct):
Fe 0.0000 0.0000 0.9755  4 Si 2.39, 4 Fe 2.64
Fe 0.5000 0.5000 0.2103  1 Si 2.27
Pb 0.0000 0.0000 0.4797  6 Fe 2.76-3.05
Si 0.5000 0.5000 0.8345  5 Fe 2.27-2.39

## Properties
Polymorph energy (0 for the lowest one): 0 meV/atom

No. 2
The following is a PBEsol calculation of an optimized crystal structure of KCdPS2, from Alexandria via LeMat-Bulk.

a = 4.9403 Å, b = 5.0958 Å, c = 5.0958 Å
α = 90.00°, β = 90.00°, γ = 90.00°
With the nearest neighbours (Å) after each atom.
Positions (direct):
P 0.5000 0.0000 0.0000  2 Cd 2.47
K 0.5000 0.5000 0.5000  8 S 3.55, 4 P 3.60
S 0.0000 0.0000 0.5000  2 Cd 2.55
S 0.0000 0.5000 0.0000  2 Cd 2.55
Cd 0.0000 0.0000 0.0000  2 P 2.47, 4 S 2.55

no.,E_form (uncorrected) (eV/atom),volume (Å³/atom)
1,0.235,15.0
2,0.266,25.7